Below is CoCuIr2 after structural relaxation, with properties calculated at the GGA-PBE level.

**ΔE to the lowest computed polymorph**: 85.1 meV/atom
**Energy relative to the elements**: 153 meV per atom
**Space-group type**: Pmmm

Cell lengths 2.680, 3.606, 5.398 Å; angles 90.00, 90.00, 90.00 degrees
Fractional positions:
Co (0.500, 0.500, 0.250)
Ir (0.000, 0.000, 0.495)
Ir (0.000, 0.000, 0.005)
Cu (0.500, 0.500, 0.750)